DFT (meta-GGA SCAN) results for a crystal of LiSc3 relaxed with PBEsol.

```
4
Lattice="3.2302 0.0000 0.0000 -1.6151 2.7974 0.0000 0.0000 0.0000 10.2197" Properties=species:S:1:pos:R:3 pbc="T T T"
Li 0.0000 0.0000 0.0000
Sc 0.0000 0.0000 5.1098
Sc 0.0000 1.8650 2.5875
Sc 0.0000 1.8650 7.6321
```

Its space-group type is P-6m2 (187). The calculation puts the formation energy at 0.106 eV/atom. The value obtained for the density of states at the Fermi level is 4.37 states/eV/f.u. The crystal system is hexagonal. Its energy above the most stable polymorph in this dataset is 0.000 eV per formula unit.

DFT (meta-GGA SCAN) results for a crystal of Li5Sc relaxed with PBEsol.

```
6
Lattice="5.2734 0.0000 0.0000 -2.6367 4.5669 0.0000 0.0000 0.0000 4.9252" Properties=species:S:1:pos:R:3 pbc="T T T"
Li -0.9574 1.6582 0.0000
Li 0.0000 3.0446 2.4626
Li 1.9148 0.0000 0.0000
Li 1.6793 2.9086 0.0000
Li 2.6367 1.5223 2.4626
Sc 0.0000 0.0000 2.4626
```

Its space-group type is P-62m (189). The calculation puts the formation energy at 0.180 eV/atom. The value obtained for the density of states at the Fermi level is 4.37 states/eV/f.u. The crystal system is hexagonal.

DFT (meta-GGA SCAN) results for a crystal of LiSc2 relaxed with PBEsol.

```
6
Lattice="1.6300 -8.2222 0.0000 1.6300 8.2222 0.0000 0.0000 0.0000 5.0512" Properties=species:S:1:pos:R:3 pbc="T T T"
Li 1.6300 4.5557 3.7884
Li 1.6300 -4.5557 1.2628
Sc 1.6300 6.4027 1.2628
Sc 1.6300 0.8859 1.2628
Sc 1.6300 -0.8859 3.7884
Sc 1.6300 -6.4027 3.7884
```

Its space-group type is Cmcm (63). The calculation puts the formation energy at 0.122 eV/atom. The value obtained for the density of states at the Fermi level is 3.28 states/eV/f.u. The crystal system is orthorhombic.

DFT (meta-GGA SCAN) results for a crystal of LiSc3 relaxed with PBEsol.

```
4
Lattice="-1.7070 2.4884 5.1424 1.7070 -2.4884 5.1424 1.7070 2.4884 -5.1424" Properties=species:S:1:pos:R:3 pbc="T T T"
Li 0.0000 0.0000 0.0000
Sc 1.7070 0.0000 2.3254
Sc 0.0000 0.0000 5.1424
Sc 0.0000 2.4884 2.8170
```

Its space-group type is Immm (71). The calculation puts the formation energy at 0.129 eV/atom. The value obtained for the density of states at the Fermi level is 5.43 states/eV/f.u. The crystal system is orthorhombic. Its energy above the most stable polymorph in this dataset is 0.091 eV per formula unit.

DFT (meta-GGA SCAN) results for a crystal of Li2Sc relaxed with PBEsol.

```
3
Lattice="4.8998 0.0000 0.0000 -2.4499 4.2433 0.0000 0.0000 0.0000 2.9769" Properties=species:S:1:pos:R:3 pbc="T T T"
Li 0.0000 2.8289 0.0206
Li 2.4499 1.4144 2.9563
Sc 0.0000 0.0000 1.4885
```

Its space-group type is P-3m1 (164). The calculation puts the formation energy at 0.213 eV/atom. The value obtained for the density of states at the Fermi level is 2.15 states/eV/f.u. The crystal system is trigonal.

DFT (meta-GGA SCAN) results for a crystal of Li4Sc3 relaxed with PBEsol.

```
7
Lattice="-1.6992 1.6992 12.4601 1.6992 -1.6992 12.4601 1.6992 1.6992 -12.4601" Properties=species:S:1:pos:R:3 pbc="T T T"
Li 0.0000 0.0000 1.8744
Li 0.0000 0.0000 9.1715
Li 0.0000 0.0000 15.7487
Li 0.0000 0.0000 23.0457
Sc 0.0000 0.0000 5.2373
Sc 0.0000 0.0000 12.4601
Sc 0.0000 0.0000 19.6828
```

Its space-group type is I4/mmm (139). The calculation puts the formation energy at 0.131 eV/atom. The value obtained for the density of states at the Fermi level is 5.28 states/eV/f.u. The crystal system is tetragonal.